No. 1
{"formula": "K2GaMo", "functional": "PBE", "state": "optimized geometry", "dos_at_fermi_per_ev_atom": 0.63, "ef_mev_per_atom": 953, "magmom_total_mub_per_fu": 3.562, "total_energy_ev_per_atom": -3.061, "density_g_cm3": 2.036, "lattice": [[-12.2723, 0.2730, -2.6439], [-1.9433, -9.4431, 8.0452], [-7.4721, -2.9230, 4.5635]], "species": ["Mo", "Mo", "K", "K", "K", "K", "Ga", "Ga"], "frac_coords": [[0.0000, 0.0000, 0.0000], [0.7500, 0.2500, 0.5000], [0.8750, 0.7056, 0.7500], [0.4556, 0.1250, 0.2500], [0.3750, 0.5444, 0.7500], [0.2944, 0.6250, 0.2500], [0.5000, 0.5000, 0.0000], [0.2500, 0.7500, 0.5000]]}


No. 2
{"formula": "KGa2Mo2", "functional": "PBE", "state": "optimized geometry", "relative_energy_mev_per_atom": 117, "dos_at_fermi_per_ev_atom": 1.08, "ef_mev_per_atom": 398, "magmom_total_mub_per_fu": 0.000, "total_energy_ev_per_atom": -5.365, "density_g_cm3": 6.125, "lattice": [[3.8579, 0.0000, 0.0000], [0.0000, 3.8579, 0.0000], [1.9290, 1.9290, 6.7470]], "species": ["Ga", "Ga", "K", "Mo", "Mo"], "frac_coords": [[0.3918, 0.3918, 0.2163], [0.6082, 0.6082, 0.7837], [0.0000, 0.0000, 0.0000], [0.2500, 0.7500, 0.5000], [0.7500, 0.2500, 0.5000]]}


No. 3
{"formula": "KGaMo3", "functional": "PBE", "state": "optimized geometry", "relative_energy_mev_per_atom": 1076, "dos_at_fermi_per_ev_atom": 1.36, "ef_mev_per_atom": 2969, "magmom_total_mub_per_fu": 0.000, "total_energy_ev_per_atom": -4.355, "density_g_cm3": 7.081, "lattice": [[-1.4912, 2.8100, 3.2263], [2.5949, -2.1224, 3.0480], [3.4017, 2.8509, -0.9108]], "species": ["Mo", "Mo", "Mo", "Ga", "K"], "frac_coords": [[0.5000, 0.0000, 0.0000], [0.0000, 0.0000, 0.5000], [0.0000, 0.5000, 0.0000], [0.5000, 0.5000, 0.5000], [0.0000, 0.0000, 0.0000]]}